The following is a GGA+U calculation of a geometry-optimized Li3V2P4H2O16 structure, from the Alexandria database.

Summary:
Energy, eV/atom: -6.8676
Volume, A^3/atom: 10.7

Structure (CIF):
```
data_Li3V2P4H2O16
_space_group_name_H-M_alt 'P 1'
_space_group_IT_number 1
_space_group_name_Hall 'P 1'
_cell_length_a 7.896
_cell_length_b 8.077
_cell_length_c 9.731
_cell_angle_alpha 90.69
_cell_angle_beta 111.83
_cell_angle_gamma 90.43
loop_
_atom_site_label
_atom_site_type_symbol
_atom_site_fract_x
_atom_site_fract_y
_atom_site_fract_z
O1 O 0.357 0.052 0.863
O2 O 0.067 0.038 0.409
Li1 Li 0.656 0.633 0.278
Li2 Li 0.143 0.867 0.272
Li3 Li 0.342 0.363 0.233
H1 H 0.491 0.509 0.506
O3 O 0.643 0.831 0.400
H2 H 0.490 0.510 0.007
P1 P 0.729 0.349 0.433
O4 O 0.168 0.542 0.145
O5 O 0.832 0.460 0.854
O6 O 0.646 0.951 0.140
Li4 Li 0.344 0.368 0.727
Li5 Li 0.656 0.638 0.773
O7 O 0.058 0.058 0.908
O8 O 0.808 0.688 0.643
V1 V 0.509 0.002 0.251
P2 P 0.266 0.656 0.566
P3 P 0.767 0.850 0.069
P4 P 0.265 0.654 0.068
O9 O 0.448 0.559 0.594
H3 H 0.011 0.007 0.493
O10 O 0.189 0.316 0.852
O11 O 0.450 0.563 0.094
O12 O 0.834 0.452 0.357
P5 P 0.240 0.153 0.934
V2 V 0.994 0.493 0.246
O13 O 0.650 0.956 0.643
O14 O 0.189 0.314 0.357
O15 O 0.677 0.174 0.362
O16 O 0.945 0.941 0.091
O17 O 0.806 0.683 0.148
O18 O 0.316 0.822 0.152
O19 O 0.323 0.827 0.641
O20 O 0.550 0.444 0.405
O21 O 0.348 0.045 0.358
P6 P 0.731 0.349 0.930
O22 O 0.356 0.171 0.602
O23 O 0.549 0.438 0.905
P7 P 0.767 0.856 0.568
P8 P 0.238 0.148 0.434
H4 H 0.015 0.007 0.992
O24 O 0.848 0.331 0.599
O25 O 0.149 0.674 0.904
V3 V 0.000 0.508 0.751
Li6 Li 0.858 0.136 0.723
O26 O 0.356 0.173 0.102
O27 O 0.933 0.964 0.591
V4 V 0.499 0.000 0.752
O28 O 0.852 0.328 0.094
O29 O 0.150 0.672 0.400
O30 O 0.688 0.177 0.848
O31 O 0.166 0.549 0.642
O32 O 0.643 0.830 0.901
```